(1)
A plane-wave DFT calculation with PBE was carried out for an optimized crystal structure of CsSeS2Cl.

Density of states at the Fermi level   1.097 states/eV/atom
Formation energy without anion corrections   1064 meV/atom
Size of the total moment   3.98 μB/f.u.
Offset from the most stable computed form   1392 meV/atom
Crystal system   tetragonal
DFT total energy   -1.82 eV/atom
Space group   P4/mmm

POSCAR file:
```
CsSeS2Cl
1.0
-4.805 2.781 0.885
-1.987 -4.367 2.931
2.428 2.491 5.357
Cl Cs S Se
1 1 2 1
direct
0.000 0.000 0.500 Cl
0.000 0.000 0.000 Cs
0.000 0.500 0.000 S
0.500 0.000 0.000 S
0.500 0.500 0.500 Se
```

(2)
A plane-wave DFT calculation with PBE was carried out for an optimized crystal structure of NaErTlSn.

Density of states at the Fermi level   0.625 states/eV/atom
Formation enthalpy at 0 K   -0.277 eV/atom
Size of the total moment   0.00 μB/f.u.
Crystal system   cubic
DFT total energy   -3.34 eV/atom
Space group   F-43m

POSCAR file:
```
NaErTlSn
1.0
-1.713 -0.398 -5.019
-3.288 -3.945 -1.382
-5.080 1.058 -1.168
Er Tl Sn Na
1 1 1 1
direct
0.000 0.000 0.000 Er
0.250 0.250 0.250 Tl
0.750 0.750 0.750 Sn
0.500 0.500 0.500 Na
```